Computed, not measured: a relaxed structure of TbPaMnO6 at the PBE+U level of DFT.

a = 4.7964 Å, b = 5.3558 Å, c = 5.3558 Å
α = 120.00°, β = 90.00°, γ = 90.00°
Sites, in units of the cell vectors:
O 0.2659 0.2907 0.3116
O 0.7341 0.2907 0.9791
O 0.7341 0.6884 0.7093
O 0.2659 0.0209 0.7093
O 0.7341 0.0209 0.3116
O 0.2659 0.6884 0.9791
Tb 0.5000 0.6667 0.3333
Pa 0.0000 0.3333 0.6667
Mn 0.5000 0.0000 0.0000

Space group ... No. 149
E ... -76.07 eV per formula unit
Density ... 7538 kg/m³